1.
Material: Cu3Hg5
Method: DFT, PBE
State: relaxed

Lattice parameters (Å, degrees): 7.8274 7.8274 5.8404 90.00 90.00 120.00
Atoms (fractional coordinates):
Hg 0.3333 0.6667 0.0000
Hg 0.6667 0.3333 0.5000
Hg 0.6667 0.3333 0.0000
Hg 0.3333 0.6667 0.5000
Hg 0.2321 0.0000 0.2500
Hg 0.7679 0.0000 0.7500
Hg 0.0000 0.2321 0.2500
Hg 0.7679 0.7679 0.2500
Hg 0.2321 0.2321 0.7500
Hg 0.0000 0.7679 0.7500
Cu 0.5968 0.0000 0.2500
Cu 0.4032 0.0000 0.7500
Cu 0.0000 0.5968 0.2500
Cu 0.4031 0.4032 0.2500
Cu 0.5969 0.5968 0.7500
Cu 0.0000 0.4032 0.7500

Calculated values
The value obtained for the density of states at the Fermi level is 3.53 states/eV per cell. The symmetry is P6_3/mcm (193).



2.
Material: Cu3Hg5
Method: DFT, PBE
State: relaxed

Lattice parameters (Å, degrees): 6.7434 6.7434 3.6429 90.00 90.00 101.89
Atoms (fractional coordinates):
Cu 0.5000 0.5000 0.0000
Cu 0.6838 0.3162 0.5000
Cu 0.3162 0.6838 0.5000
Hg 0.0000 0.0000 0.0000
Hg 0.5000 0.0000 0.0000
Hg 0.0000 0.5000 0.0000
Hg 0.7349 0.7349 0.5000
Hg 0.2651 0.2651 0.5000

Calculated values
The value obtained for the density of states at the Fermi level is 2.37 states/eV per cell. The symmetry is Cmmm (65).



Least stable = 2



1.
Material: Cu5Hg3
Method: DFT, PBE
State: relaxed

Lattice parameters (Å, degrees): 3.2107 3.2107 12.1558 90.00 90.00 90.00
Atoms (fractional coordinates):
Cu 0.0000 0.0000 0.0000
Cu 0.0000 0.0000 0.2686
Cu 0.0000 0.0000 0.7314
Cu 0.5000 0.5000 0.3663
Cu 0.5000 0.5000 0.6337
Hg 0.0000 0.0000 0.5000
Hg 0.5000 0.5000 0.1346
Hg 0.5000 0.5000 0.8654

Calculated values
The value obtained for the density of states at the Fermi level is 3.91 states/eV per cell. The symmetry is P4/mmm (123).



2.
Material: Cu5Hg3
Method: DFT, PBE
State: relaxed

Lattice parameters (Å, degrees): 8.0515 8.0515 4.7746 90.00 90.00 120.00
Atoms (fractional coordinates):
Hg 0.6160 0.0000 0.2500
Hg 0.3840 0.0000 0.7500
Hg 0.0000 0.6160 0.2500
Hg 0.3840 0.3840 0.2500
Hg 0.6160 0.6160 0.7500
Hg 0.0000 0.3840 0.7500
Cu 0.3333 0.6667 0.0000
Cu 0.6667 0.3333 0.5000
Cu 0.6667 0.3333 0.0000
Cu 0.3333 0.6667 0.5000
Cu 0.1805 0.0000 0.2500
Cu 0.8195 0.0000 0.7500
Cu 0.0000 0.1805 0.2500
Cu 0.8195 0.8195 0.2500
Cu 0.1806 0.1806 0.7500
Cu 0.0000 0.8195 0.7500

Calculated values
The value obtained for the density of states at the Fermi level is 13.13 states/eV per cell. The symmetry is P6_3/mcm (193).



3.
Material: Cu5Hg3
Method: DFT, PBE
State: relaxed

Lattice parameters (Å, degrees): 5.5258 5.5258 4.1662 90.00 90.00 98.79
Atoms (fractional coordinates):
Cu 0.0000 0.0000 0.0000
Cu 0.5000 0.0000 0.0000
Cu 0.0000 0.5000 0.0000
Cu 0.7486 0.7486 0.5000
Cu 0.2514 0.2514 0.5000
Hg 0.5000 0.5000 0.0000
Hg 0.7678 0.2322 0.5000
Hg 0.2322 0.7678 0.5000

Calculated values
The value obtained for the density of states at the Fermi level is 2.09 states/eV per cell. The symmetry is Cmmm (65).



Least stable = 2



1.
Material: Ho4Cu2Hg
Method: DFT, PBE
State: relaxed

Lattice parameters (Å, degrees): 8.5951 8.5952 6.9065 108.07 108.07 120.73
Atoms (fractional coordinates):
Ho 0.9848 0.2705 0.4158
Ho 0.3836 0.5605 0.2833
Ho 0.8268 0.5781 0.5407
Ho 0.8105 0.1336 0.7833
Ho 0.4033 0.0088 0.2771
Ho 0.2588 0.1533 0.7771
Ho 0.5205 0.7348 0.9158
Ho 0.8281 0.5767 0.0407
Cu 0.4333 0.3658 0.5529
Cu 0.7988 0.8568 0.3813
Cu 0.6157 0.1833 0.0529
Cu 0.1068 0.5488 0.8813
Hg 0.2533 0.7758 0.5489
Hg 0.0258 0.0032 0.0489

Calculated values
The value obtained for the density of states at the Fermi level is 11.14 states/eV per cell. The symmetry is Cc (9).



2.
Material: Ho4Cu2Hg
Method: DFT, PBE
State: relaxed

Lattice parameters (Å, degrees): 4.9816 4.9816 8.4629 72.88 72.88 60.00
Atoms (fractional coordinates):
Ho 0.8696 0.8696 0.3911
Ho 0.1304 0.1304 0.6089
Ho 0.6173 0.6173 0.1481
Ho 0.3827 0.3827 0.8519
Cu 0.7487 0.7487 0.7538
Cu 0.2513 0.2513 0.2462
Hg 0.0000 0.0000 0.0000

Calculated values
The value obtained for the density of states at the Fermi level is 6.21 states/eV per cell. The symmetry is R-3m (166).



Least stable = 2



1.
Material: PmHoCuHg
Method: DFT, PBE
State: relaxed

Lattice parameters (Å, degrees): 5.1661 5.1661 5.1661 60.00 60.00 60.00
Atoms (fractional coordinates):
Pm 0.5000 0.5000 0.5000
Hg 0.7500 0.7500 0.7500
Cu 0.2500 0.2500 0.2500
Ho 0.0000 0.0000 0.0000

Calculated values
The value obtained for the density of states at the Fermi level is 2.24 states/eV per cell. The symmetry is F-43m (216).



2.
Material: PmHoCuHg
Method: DFT, PBE
State: relaxed

Lattice parameters (Å, degrees): 3.5857 3.5857 7.4906 90.00 90.00 90.00
Atoms (fractional coordinates):
Pm 0.0000 0.0000 0.8373
Ho 0.0000 0.0000 0.3807
Cu 0.5000 0.5000 0.5885
Hg 0.5000 0.5000 0.1214

Calculated values
The value obtained for the density of states at the Fermi level is 4.37 states/eV per cell. The symmetry is P4mm (99).



Least stable = 1



1.
Material: TbHoCuHg
Method: DFT, PBE
State: relaxed

Lattice parameters (Å, degrees): 5.1065 5.1065 5.1065 60.00 60.00 60.00
Atoms (fractional coordinates):
Tb 0.7500 0.7500 0.7500
Hg 0.5000 0.5000 0.5000
Cu 0.0000 0.0000 0.0000
Ho 0.2500 0.2500 0.2500

Calculated values
The value obtained for the density of states at the Fermi level is 3.00 states/eV per cell. The symmetry is F-43m (216).



2.
Material: TbHoCuHg
Method: DFT, PBE
State: relaxed

Lattice parameters (Å, degrees): 3.5487 3.5487 7.4143 90.00 90.00 90.00
Atoms (fractional coordinates):
Tb 0.0000 0.0000 0.8349
Ho 0.0000 0.0000 0.3801
Cu 0.5000 0.5000 0.6019
Hg 0.5000 0.5000 0.1110

Calculated values
The value obtained for the density of states at the Fermi level is 3.62 states/eV per cell. The symmetry is P4mm (99).



Least stable = 1



1.
Material: CuHgI4
Method: DFT, PBE
State: relaxed

Lattice parameters (Å, degrees): 6.0278 6.0349 14.2859 102.21 102.18 89.99
Atoms (fractional coordinates):
Cu 0.3750 0.6251 0.2500
Cu 0.6250 0.3749 0.7500
Hg 0.8750 0.1250 0.2500
Hg 0.1250 0.8750 0.7500
I 0.3321 0.0831 0.6264
I 0.0833 0.7945 0.1264
I 0.2057 0.4568 0.3736
I 0.4568 0.6679 0.8736
I 0.6679 0.9169 0.3736
I 0.7943 0.5432 0.6264
I 0.9167 0.2055 0.8736
I 0.5432 0.3321 0.1264

Calculated values
The value obtained for the density of states at the Fermi level is 16.18 states/eV per cell. The symmetry is I4_1/a (88).



2.
Material: CuHgI4
Method: DFT, PBE
State: relaxed

Lattice parameters (Å, degrees): 6.3238 6.3238 11.9058 90.00 90.00 90.00
Atoms (fractional coordinates):
Cu 0.0000 0.0000 0.0000
Cu 0.0000 0.0000 0.5000
Hg 0.0000 0.5000 0.2500
Hg 0.5000 0.0000 0.7500
I 0.2296 0.2597 0.8837
I 0.7704 0.7403 0.8837
I 0.2597 0.2296 0.3837
I 0.2296 0.7403 0.6163
I 0.7704 0.2597 0.6163
I 0.2597 0.7704 0.1163
I 0.7403 0.2296 0.1163
I 0.7403 0.7704 0.3837

Calculated values
The value obtained for the density of states at the Fermi level is 18.30 states/eV per cell. The symmetry is P-42c (112).



Least stable = 2



1.
Material: CuHg3I
Method: DFT, PBE
State: relaxed

Lattice parameters (Å, degrees): 5.2617 5.2617 5.2617 90.00 90.00 90.00
Atoms (fractional coordinates):
I 0.5000 0.5000 0.5000
Hg 0.0000 0.5000 0.0000
Hg 0.0000 0.0000 0.5000
Hg 0.5000 0.0000 0.0000
Cu 0.0000 0.0000 0.0000

Calculated values
The value obtained for the density of states at the Fermi level is 1.39 states/eV per cell. The symmetry is Pm-3m (221).



2.
Material: CuHg3I
Method: DFT, PBE
State: relaxed

Lattice parameters (Å, degrees): 6.9602 6.9602 6.9602 90.00 90.00 90.00
Atoms (fractional coordinates):
I 0.0000 0.0000 0.0000
Hg 0.0000 0.5000 0.0000
Hg 0.0000 0.0000 0.5000
Hg 0.5000 0.0000 0.0000
Cu 0.5000 0.5000 0.5000

Calculated values
The value obtained for the density of states at the Fermi level is 11.42 states/eV per cell. The symmetry is Pm-3m (221).



Least stable = 2



1.
Material: CuHgI3
Method: DFT, PBE
State: relaxed

Lattice parameters (Å, degrees): 4.1985 8.6187 11.3480 96.60 90.00 104.10
Atoms (fractional coordinates):
Cu 0.3399 0.6797 0.0269
Cu 0.6601 0.3203 0.9731
Hg 0.0664 0.1329 0.3155
Hg 0.9336 0.8671 0.6845
I 0.6339 0.2678 0.4664
I 0.3661 0.7322 0.5336
I 0.1983 0.3965 0.1251
I 0.8017 0.6035 0.8749
I 0.9285 0.8570 0.1556
I 0.0715 0.1430 0.8444

Calculated values
The value obtained for the density of states at the Fermi level is 0.97 states/eV per cell. The symmetry is C2/m (12).



2.
Material: CuHgI3
Method: DFT, PBE
State: relaxed

Lattice parameters (Å, degrees): 5.4802 5.4802 5.4802 90.00 90.00 90.00
Atoms (fractional coordinates):
I 0.0000 0.5000 0.0000
I 0.0000 0.0000 0.5000
I 0.5000 0.0000 0.0000
Hg 0.5000 0.5000 0.5000
Cu 0.0000 0.0000 0.0000

Calculated values
The value obtained for the density of states at the Fermi level is 7.60 states/eV per cell. The symmetry is Pm-3m (221).



Least stable = 2



1.
Material: Cu2Hg2I
Method: DFT, PBE
State: relaxed

Lattice parameters (Å, degrees): 3.7075 3.7075 8.6892 77.68 77.68 90.00
Atoms (fractional coordinates):
I 0.0000 0.0000 0.0000
Hg 0.3727 0.3727 0.2545
Hg 0.6273 0.6273 0.7455
Cu 0.7500 0.2500 0.5000
Cu 0.2500 0.7500 0.5000

Calculated values
The value obtained for the density of states at the Fermi level is 2.18 states/eV per cell. The symmetry is I4/mmm (139).



2.
Material: Cu2Hg2I
Method: DFT, PBE
State: relaxed

Lattice parameters (Å, degrees): 7.3538 7.3538 4.1130 90.00 90.00 90.00
Atoms (fractional coordinates):
I 0.0000 0.0000 0.0000
I 0.5000 0.5000 0.0000
Hg 0.1554 0.6554 0.5000
Hg 0.6554 0.8446 0.5000
Hg 0.8446 0.3446 0.5000
Hg 0.3446 0.1554 0.5000
Cu 0.3777 0.8777 0.0000
Cu 0.8777 0.6223 0.0000
Cu 0.6223 0.1223 0.0000
Cu 0.1223 0.3777 0.0000

Calculated values
The value obtained for the density of states at the Fermi level is 3.94 states/eV per cell. The symmetry is P4/mbm (127).



Least stable = 2



1.
Material: CuHgI2N
Method: DFT, PBE
State: relaxed

Lattice parameters (Å, degrees): 6.1087 6.1087 3.9756 90.00 90.00 90.00
Atoms (fractional coordinates):
I 0.0000 0.5000 0.0000
I 0.5000 0.0000 0.0000
Hg 0.0000 0.0000 0.0000
Cu 0.5000 0.5000 0.5000
N 0.0000 0.0000 0.5000

Calculated values
The value obtained for the density of states at the Fermi level is 6.46 states/eV per cell. The symmetry is P4/mmm (123).



2.
Material: CuHgI2N
Method: DFT, PBE
State: relaxed

Lattice parameters (Å, degrees): 5.7626 5.7626 3.7412 90.00 90.00 90.00
Site moments in Bohr magnetons follow the coordinates.
Atoms (fractional coordinates):
I 0.0000 0.5000 0.0000  0.12
I 0.5000 0.0000 0.0000  0.12
Hg 0.5000 0.5000 0.5000  0.00
Cu 0.0000 0.0000 0.0000  0.25
N 0.0000 0.0000 0.5000  1.06

Calculated values
The value obtained for the density of states at the Fermi level is 3.43 states/eV per cell. The symmetry is P4/mmm (123).



Least stable = 1



1.
Material: CuHgIO2
Method: DFT, PBE
State: relaxed

Lattice parameters (Å, degrees): 3.9864 3.9864 6.2750 90.00 90.00 90.00
Site moments in Bohr magnetons follow the coordinates.
Atoms (fractional coordinates):
I 0.0000 0.0000 0.5000  0.01
O 0.0000 0.5000 0.0000  0.64
O 0.5000 0.0000 0.0000  0.64
Hg 0.5000 0.5000 0.5000  0.01
Cu 0.0000 0.0000 0.0000  0.36

Calculated values
The value obtained for the density of states at the Fermi level is 5.79 states/eV per cell. The symmetry is P4/mmm (123).



2.
Material: CuHgIO2
Method: DFT, PBE
State: relaxed

Lattice parameters (Å, degrees): 4.0805 4.0805 7.2875 90.00 90.00 90.00
Site moments in Bohr magnetons follow the coordinates.
Atoms (fractional coordinates):
I 0.0000 0.0000 0.5000  0.00
O 0.0000 0.5000 0.0000  0.44
O 0.5000 0.0000 0.0000  0.44
Hg 0.0000 0.0000 0.0000  0.10
Cu 0.5000 0.5000 0.5000  0.00

Calculated values
The value obtained for the density of states at the Fermi level is 3.53 states/eV per cell. The symmetry is P4/mmm (123).



Least stable = 2



1.
Material: InCu3Hg
Method: DFT, PBE
State: relaxed

Lattice parameters (Å, degrees): 4.8916 4.8916 4.8916 90.00 90.00 90.00
Atoms (fractional coordinates):
Hg 0.0000 0.0000 0.0000
Cu 0.0000 0.5000 0.0000
Cu 0.0000 0.0000 0.5000
Cu 0.5000 0.0000 0.0000
In 0.5000 0.5000 0.5000

Calculated values
The value obtained for the density of states at the Fermi level is 1.91 states/eV per cell. The symmetry is Pm-3m (221).



2.
Material: InCu3Hg
Method: DFT, PBE
State: relaxed

Lattice parameters (Å, degrees): 4.9003 4.9003 4.9003 90.00 90.00 90.00
Atoms (fractional coordinates):
Hg 0.5000 0.5000 0.5000
Cu 0.0000 0.5000 0.0000
Cu 0.0000 0.0000 0.5000
Cu 0.5000 0.0000 0.0000
In 0.0000 0.0000 0.0000

Calculated values
The value obtained for the density of states at the Fermi level is 2.18 states/eV per cell. The symmetry is Pm-3m (221).



Least stable = 2